#1
HgTeH after structural relaxation. Source: Alexandria, functional PBE.

## Properties
* N(E_F): 0.6 states/eV/cell

Unit cell a=4.885 b=4.885 c=4.885 alpha=125.73 beta=125.73 gamma=80.33
Element x y z (fractional)
1 Hg 0.000 0.000 0.000
2 Te 0.470 0.470 0.000
3 H 0.700 0.700 0.000



#2
HgTeH after structural relaxation. Source: Alexandria, functional PBE.

## Properties
* N(E_F): 1.3 states/eV/cell

Unit cell a=8.896 b=8.896 c=8.896 alpha=159.25 beta=143.20 gamma=42.62
Element x y z (fractional)
1 Hg 0.186 0.186 0.000
2 Hg 0.814 0.814 0.000
3 Te 0.363 0.863 0.500
4 Te 0.637 0.137 0.500
5 H 0.067 0.500 0.567
6 H 0.933 0.500 0.433



Last place for stability: #1



#1
Hg2TeH after structural relaxation. Source: Alexandria, functional PBE.

## Properties
* N(E_F): 2.1 states/eV/cell

Unit cell a=7.810 b=7.810 c=7.810 alpha=140.60 beta=140.60 gamma=56.94
Element x y z (fractional)
1 Hg 0.005 0.625 0.880
2 Hg 0.375 0.255 0.380
3 Hg 0.745 0.125 0.120
4 Hg 0.875 0.995 0.620
5 Te 0.250 0.750 0.500
6 Te 0.500 0.500 0.000
7 H 0.000 0.000 0.000
8 H 0.750 0.250 0.500



#2
Hg2TeH after structural relaxation. Source: Alexandria, functional PBE.

## Properties
* N(E_F): 1.4 states/eV/cell

Unit cell a=7.290 b=7.290 c=7.290 alpha=36.07 beta=36.07 gamma=36.07
Element x y z (fractional)
1 Hg 0.091 0.091 0.091
2 Hg 0.909 0.909 0.909
3 Te 0.500 0.500 0.500
4 H 0.000 0.000 0.000



#3
Hg2TeH after structural relaxation. Source: Alexandria, functional PBE.

## Properties
* N(E_F): 1.2 states/eV/cell

Unit cell a=5.047 b=5.047 c=5.047 alpha=60.00 beta=60.00 gamma=60.00
Element x y z (fractional)
1 Hg 0.250 0.250 0.250
2 Hg 0.750 0.750 0.750
3 Te 0.000 0.000 0.000
4 H 0.500 0.500 0.500



Last place for stability: #3



#1
HgTe2H after structural relaxation. Source: Alexandria, functional PBE.

## Properties
* N(E_F): 5.7 states/eV/cell

Unit cell a=7.558 b=7.558 c=7.558 alpha=33.97 beta=33.97 gamma=33.97
Element x y z (fractional)
1 Hg 0.000 0.000 0.000
2 Te 0.408 0.408 0.408
3 Te 0.592 0.592 0.592
4 H 0.500 0.500 0.500



#2
HgTe2H after structural relaxation. Source: Alexandria, functional PBE.

## Properties
* N(E_F): 3.9 states/eV/cell

Unit cell a=6.895 b=6.895 c=6.895 alpha=127.23 beta=127.23 gamma=77.88
Element x y z (fractional)
1 Hg 0.000 0.000 0.000
2 Hg 0.750 0.250 0.500
3 Te 0.207 0.625 0.082
4 Te 0.375 0.457 0.582
5 Te 0.543 0.125 0.918
6 Te 0.875 0.793 0.418
7 H 0.250 0.750 0.500
8 H 0.500 0.500 0.000



Last place for stability: #2



#1
HgTe2H after structural relaxation. Source: Alexandria, functional PBE.

## Properties
* N(E_F): 2.8 states/eV/cell

Unit cell a=5.035 b=5.035 c=5.035 alpha=60.00 beta=60.00 gamma=60.00
Element x y z (fractional)
1 Hg 0.000 0.000 0.000
2 Te 0.250 0.250 0.250
3 Te 0.750 0.750 0.750
4 H 0.500 0.500 0.500



#2
HgTe2H after structural relaxation. Source: Alexandria, functional PBE.

## Properties
* N(E_F): 2.8 states/eV/cell

Unit cell a=5.151 b=8.118 c=5.627 alpha=90.00 beta=98.78 gamma=90.00
Element x y z (fractional)
1 Hg 0.000 0.239 0.000
2 Hg 0.000 0.761 0.000
3 Te 0.292 0.500 0.290
4 Te 0.301 0.000 0.777
5 Te 0.712 0.500 0.747
6 Te 0.722 0.000 0.251
7 H 0.016 0.000 0.508
8 H 0.051 0.500 0.479



Last place for stability: #1



#1
Hg3TeH after structural relaxation. Source: Alexandria, functional PBE.

## Properties
* N(E_F): 3.2 states/eV/cell

Unit cell a=4.809 b=4.809 c=4.809 alpha=90.00 beta=90.00 gamma=90.00
Element x y z (fractional)
1 Hg 0.000 0.000 0.500
2 Hg 0.000 0.500 0.000
3 Hg 0.500 0.000 0.000
4 Te 0.500 0.500 0.500
5 H 0.000 0.000 0.000



#2
Hg3TeH after structural relaxation. Source: Alexandria, functional PBE.

## Properties
* N(E_F): 1.1 states/eV/cell

Unit cell a=6.143 b=6.143 c=6.143 alpha=90.00 beta=90.00 gamma=90.00
Element x y z (fractional)
1 Hg 0.000 0.000 0.500
2 Hg 0.000 0.500 0.000
3 Hg 0.500 0.000 0.000
4 Te 0.000 0.000 0.000
5 H 0.500 0.500 0.500



#3
Hg3TeH after structural relaxation. Source: Alexandria, functional PBE.

## Properties
* N(E_F): 1.1 states/eV/cell

Unit cell a=5.523 b=4.614 c=22.984 alpha=90.00 beta=100.41 gamma=90.00
Element x y z (fractional)
1 Hg 0.123 0.002 0.453
2 Hg 0.123 0.498 0.953
3 Hg 0.215 0.002 0.256
4 Hg 0.215 0.498 0.756
5 Hg 0.272 0.502 0.157
6 Hg 0.272 0.998 0.657
7 Hg 0.728 0.002 0.343
8 Hg 0.728 0.498 0.843
9 Hg 0.785 0.502 0.244
10 Hg 0.785 0.998 0.744
11 Hg 0.877 0.502 0.047
12 Hg 0.877 0.998 0.547
13 Te 0.344 0.501 0.400
14 Te 0.344 0.999 0.900
15 Te 0.656 0.001 0.100
16 Te 0.656 0.499 0.600
17 H 0.405 0.002 0.046
18 H 0.405 0.498 0.546
19 H 0.595 0.502 0.454
20 H 0.595 0.998 0.954



Last place for stability: #2



#1
HgTe2H2 after structural relaxation. Source: Alexandria, functional PBE.

## Properties
* N(E_F): 3.5 states/eV/cell

Unit cell a=8.402 b=8.402 c=3.634 alpha=90.00 beta=90.00 gamma=90.00
Element x y z (fractional)
1 Hg 0.000 0.000 0.000
2 Hg 0.500 0.500 0.000
3 Te 0.200 0.300 0.000
4 Te 0.300 0.800 0.000
5 Te 0.700 0.200 0.000
6 Te 0.800 0.700 0.000
7 H 0.241 0.741 0.500
8 H 0.259 0.241 0.500
9 H 0.741 0.759 0.500
10 H 0.759 0.259 0.500



#2
HgTe2H2 after structural relaxation. Source: Alexandria, functional PBE.

Unit cell a=4.702 b=4.833 c=6.098 alpha=91.40 beta=92.71 gamma=91.86
Element x y z (fractional)
1 Hg 0.000 0.000 0.000
2 Te 0.332 0.684 0.753
3 Te 0.668 0.316 0.247
4 H 0.134 0.752 0.525
5 H 0.866 0.248 0.475



Last place for stability: #1



#1
HgTe2H2 after structural relaxation. Source: Alexandria, functional PBE.

## Properties
* N(E_F): 1.3 states/eV/cell

Unit cell a=4.351 b=4.351 c=7.390 alpha=109.06 beta=109.06 gamma=61.98
Element x y z (fractional)
1 Hg 0.000 0.000 0.000
2 Te 0.303 0.303 0.708
3 Te 0.697 0.697 0.292
4 H 0.480 0.480 0.313
5 H 0.520 0.520 0.687



#2
HgTe2H2 after structural relaxation. Source: Alexandria, functional PBE.

## Properties
* N(E_F): 2.1 states/eV/cell

Unit cell a=6.764 b=6.764 c=6.764 alpha=147.21 beta=147.21 gamma=47.05
Element x y z (fractional)
1 Hg 0.000 0.000 0.000
2 Te 0.353 0.353 0.000
3 Te 0.647 0.647 0.000
4 H 0.250 0.750 0.500
5 H 0.750 0.250 0.500



Last place for stability: #2



#1
HgTe3H after structural relaxation. Source: Alexandria, functional PBE.

## Properties
* N(E_F): 7.6 states/eV/cell

Unit cell a=5.709 b=5.709 c=5.709 alpha=90.00 beta=90.00 gamma=90.00
Element x y z (fractional)
1 Hg 0.000 0.000 0.000
2 Te 0.000 0.000 0.500
3 Te 0.000 0.500 0.000
4 Te 0.500 0.000 0.000
5 H 0.500 0.500 0.500



#2
HgTe3H after structural relaxation. Source: Alexandria, functional PBE.

## Properties
* N(E_F): 4.3 states/eV/cell

Unit cell a=4.878 b=4.878 c=4.878 alpha=90.00 beta=90.00 gamma=90.00
Element x y z (fractional)
1 Hg 0.000 0.000 0.000
2 Te 0.000 0.500 0.500
3 Te 0.500 0.000 0.500
4 Te 0.500 0.500 0.000
5 H 0.500 0.500 0.500



Last place for stability: #1



#1
Ti3HgH after structural relaxation. Source: Alexandria, functional PBE.

## Properties
* N(E_F): 6.2 states/eV/cell

Unit cell a=5.124 b=5.124 c=5.124 alpha=90.00 beta=90.00 gamma=90.00
Element x y z (fractional)
1 Ti 0.000 0.000 0.500
2 Ti 0.000 0.500 0.000
3 Ti 0.500 0.000 0.000
4 Hg 0.000 0.000 0.000
5 H 0.500 0.500 0.500



#2
Ti3HgH after structural relaxation. Source: Alexandria, functional PBE.

## Properties
* N(E_F): 8.1 states/eV/cell

Unit cell a=6.196 b=3.656 c=6.487 alpha=90.00 beta=91.71 gamma=90.00
Element x y z (fractional)
1 Ti 0.113 0.250 0.118
2 Ti 0.131 0.250 0.636
3 Ti 0.358 0.750 0.892
4 Ti 0.642 0.250 0.108
5 Ti 0.869 0.750 0.364
6 Ti 0.887 0.750 0.882
7 Hg 0.374 0.750 0.361
8 Hg 0.626 0.250 0.639
9 H 0.115 0.750 0.697
10 H 0.885 0.250 0.303



Last place for stability: #1



#1
Ti3HgH after structural relaxation. Source: Alexandria, functional PBE.

## Properties
* N(E_F): 18.0 states/eV/cell

Unit cell a=7.321 b=5.174 c=9.886 alpha=90.00 beta=127.18 gamma=90.00
Element x y z (fractional)
1 Ti 0.039 0.150 0.343
2 Ti 0.039 0.350 0.843
3 Ti 0.209 0.642 0.514
4 Ti 0.209 0.858 0.014
5 Ti 0.279 0.188 0.737
6 Ti 0.279 0.312 0.237
7 Ti 0.721 0.688 0.763
8 Ti 0.721 0.812 0.263
9 Ti 0.791 0.142 0.986
10 Ti 0.791 0.358 0.486
11 Ti 0.961 0.650 0.157
12 Ti 0.961 0.850 0.657
13 Hg 0.456 0.698 0.885
14 Hg 0.456 0.802 0.385
15 Hg 0.544 0.198 0.615
16 Hg 0.544 0.302 0.115
17 H 0.078 0.167 0.022
18 H 0.078 0.333 0.522
19 H 0.922 0.667 0.478
20 H 0.922 0.833 0.978



#2
Ti3HgH after structural relaxation. Source: Alexandria, functional PBE.

## Properties
* N(E_F): 10.2 states/eV/cell

Unit cell a=8.109 b=8.109 c=4.773 alpha=91.37 beta=91.37 gamma=108.33
Element x y z (fractional)
1 Ti 0.039 0.185 0.481
2 Ti 0.082 0.687 0.028
3 Ti 0.181 0.558 0.500
4 Ti 0.185 0.039 0.981
5 Ti 0.313 0.918 0.472
6 Ti 0.442 0.819 0.000
7 Ti 0.558 0.181 0.000
8 Ti 0.687 0.082 0.528
9 Ti 0.815 0.961 0.019
10 Ti 0.819 0.442 0.500
11 Ti 0.918 0.313 0.972
12 Ti 0.961 0.815 0.519
13 Hg 0.288 0.422 0.003
14 Hg 0.422 0.288 0.503
15 Hg 0.578 0.712 0.497
16 Hg 0.712 0.578 0.997
17 H 0.014 0.986 0.250
18 H 0.247 0.753 0.750
19 H 0.753 0.247 0.250
20 H 0.986 0.014 0.750



Last place for stability: #1



#1
TiHgH after structural relaxation. Source: Alexandria, functional PBE.

## Properties
* N(E_F): 1.7 states/eV/cell

Unit cell a=3.178 b=3.178 c=4.710 alpha=90.00 beta=90.00 gamma=120.00
Element x y z (fractional)
1 Ti 0.000 0.000 0.000
2 Hg 0.333 0.667 0.500
3 H 0.667 0.333 0.000



#2
TiHgH after structural relaxation. Source: Alexandria, functional PBE.

## Properties
* N(E_F): 4.0 states/eV/cell

Unit cell a=5.497 b=5.497 c=5.331 alpha=90.00 beta=90.00 gamma=149.35
Element x y z (fractional)
1 Ti 0.000 0.000 0.000
2 Ti 0.000 0.000 0.500
3 Hg 0.281 0.719 0.750
4 Hg 0.719 0.281 0.250
5 H 0.461 0.539 0.250
6 H 0.539 0.461 0.750



Last place for stability: #2